Version a
PmZrTe | GGA-PBE | optimized geometry

Summary:
mass density	6.0	Mg/m³

a b c (Å): 7.375 7.375 7.375
angles (deg): 90.00 90.00 90.00
Space group F-43m (No. 216)
Inequivalent atoms, fractional coordinates:
Pm  0.000  0.000  0.000 [4 per cell]
Zr  0.250  0.250  0.250 [4 per cell]
Te  0.250  0.250  0.750 [4 per cell]

=====

Version b
PmZrTe | GGA-PBE | optimized geometry

Summary:
mass density	7.0	Mg/m³

a b c (Å): 7.031 7.031 7.031
angles (deg): 90.00 90.00 90.00
Space group F-43m (No. 216)
Inequivalent atoms, fractional coordinates:
Pm  0.000  0.000  0.000 [4 per cell]
Zr  0.000  0.000  0.500 [4 per cell]
Te  0.250  0.250  0.250 [4 per cell]

=====

If we sort the structures by their calculated energies, the order from most to least stable is version b, version a.

=====

Version a
PmTm | GGA-PBE | optimized geometry

Summary:
mass density	7.8	Mg/m³

a b c (Å): 6.449 6.449 6.449
angles (deg): 90.00 90.00 90.00
Space group Fm-3m (No. 225)
Inequivalent atoms, fractional coordinates:
Pm  0.000  0.000  0.000 [4 per cell]
Tm  0.000  0.000  0.500 [4 per cell]

=====

Version b
PmTm | GGA-PBE | optimized geometry

Summary:
mass density	8.1	Mg/m³

a b c (Å): 3.5893 3.5893 5.7679
angles (deg): 90.00 90.00 120.00
Space group P-6m2 (No. 187)
Inequivalent atoms, fractional coordinates:
Pm  0.0000  0.0000  0.0000 [1 per cell]
Tm  0.6667  0.3333  0.5000 [1 per cell]

=====

Version c
PmTm | GGA-PBE | optimized geometry

Summary:
mass density	6.2	Mg/m³

a b c (Å): 6.943 6.943 6.943
angles (deg): 90.00 90.00 90.00
Space group F-43m (No. 216)
Inequivalent atoms, fractional coordinates:
Pm  0.000  0.000  0.000 [4 per cell]
Tm  0.250  0.250  0.750 [4 per cell]

=====

If we sort the structures by their calculated energies, the order from most to least stable is version b, version a, version c.

=====

Version a
Pm2W | GGA-PBE | optimized geometry

Summary:
mass density	9.2	Mg/m³

a b c (Å): 6.997 6.997 6.997
angles (deg): 90.00 90.00 90.00
Space group Fm-3m (No. 225)
Inequivalent atoms, fractional coordinates:
Pm  0.250  0.250  0.250 [8 per cell]
W  0.000  0.000  0.000 [4 per cell]

=====

Version b
Pm2W | GGA-PBE | optimized geometry

Summary:
mass density	3.7	Mg/m³

a b c (Å): 11.966 11.966 11.966
angles (deg): 90.00 90.00 90.00
Space group Fd-3m (No. 227, origin choice 2)
Inequivalent atoms, fractional coordinates:
Pm  0.000  0.000  0.000 [16 per cell]
W  0.125  0.125  0.125 [8 per cell]

=====

If we sort the structures by their calculated energies, the order from most to least stable is version a, version b.

=====

Version a
PmW | GGA-PBE | optimized geometry

Summary:
mass density	12.6	Mg/m³

a b c (Å): 2.9953 2.9953 5.5928
angles (deg): 90.00 90.00 120.00
Space group P-6m2 (No. 187)
Inequivalent atoms, fractional coordinates:
Pm  0.0000  0.0000  0.0000 [1 per cell]
W  0.6667  0.3333  0.5000 [1 per cell]

=====

Version b
PmW | GGA-PBE | optimized geometry

Summary:
mass density	10.7	Mg/m³

a b c (Å): 5.895 5.895 5.895
angles (deg): 90.00 90.00 90.00
Space group Fm-3m (No. 225)
Inequivalent atoms, fractional coordinates:
Pm  0.000  0.000  0.000 [4 per cell]
W  0.000  0.000  0.500 [4 per cell]

=====

Version c
PmW | GGA-PBE | optimized geometry

Summary:
mass density	7.6	Mg/m³

a b c (Å): 6.600 6.600 6.600
angles (deg): 90.00 90.00 90.00
Space group F-43m (No. 216)
Inequivalent atoms, fractional coordinates:
Pm  0.000  0.000  0.000 [4 per cell]
W  0.250  0.250  0.750 [4 per cell]

=====

If we sort the structures by their calculated energies, the order from most to least stable is version a, version b, version c.

=====

Version a
PmW2 | GGA-PBE | optimized geometry

Summary:
mass density	2.8	Mg/m³

a b c (Å): 13.487 13.487 13.487
angles (deg): 90.00 90.00 90.00
Space group Fd-3m (No. 227, origin choice 2)
Inequivalent atoms, fractional coordinates:
Pm  0.125  0.125  0.125 [8 per cell]
W  0.000  0.000  0.000 [16 per cell]

=====

Version b
PmW2 | GGA-PBE | optimized geometry

Summary:
mass density	13.7	Mg/m³

a b c (Å): 7.916 7.916 7.916
angles (deg): 90.00 90.00 90.00
Space group Fd-3m (No. 227, origin choice 2)
Inequivalent atoms, fractional coordinates:
Pm  0.125  0.125  0.125 [8 per cell]
W  0.000  0.000  0.500 [16 per cell]

=====

Version c
PmW2 | GGA-PBE | optimized geometry

Summary:
mass density	12.5	Mg/m³

a b c (Å): 6.479 6.479 6.479
angles (deg): 90.00 90.00 90.00
Space group Fm-3m (No. 225)
Inequivalent atoms, fractional coordinates:
Pm  0.000  0.000  0.000 [4 per cell]
W  0.250  0.250  0.250 [8 per cell]

=====

If we sort the structures by their calculated energies, the order from most to least stable is version b, version c, version a.

=====

Version a
PmY2 | GGA-PBE | optimized geometry

Summary:
mass density	2.1	Mg/m³

a b c (Å): 12.595 12.595 12.595
angles (deg): 90.00 90.00 90.00
Space group Fd-3m (No. 227, origin choice 2)
Inequivalent atoms, fractional coordinates:
Pm  0.125  0.125  0.125 [8 per cell]
Y  0.000  0.000  0.000 [16 per cell]

=====

Version b
PmY2 | GGA-PBE | optimized geometry

Summary:
mass density	4.6	Mg/m³

a b c (Å): 7.758 7.758 7.758
angles (deg): 90.00 90.00 90.00
Space group Fm-3m (No. 225)
Inequivalent atoms, fractional coordinates:
Pm  0.000  0.000  0.000 [4 per cell]
Y  0.250  0.250  0.250 [8 per cell]

=====

Version c
PmY2 | GGA-PBE | optimized geometry

Summary:
mass density	5.1	Mg/m³

a b c (Å): 9.425 9.425 9.425
angles (deg): 90.00 90.00 90.00
Space group Fd-3m (No. 227, origin choice 2)
Inequivalent atoms, fractional coordinates:
Pm  0.125  0.125  0.125 [8 per cell]
Y  0.000  0.000  0.500 [16 per cell]

=====

If we sort the structures by their calculated energies, the order from most to least stable is version c, version b, version a.

=====

Version a
Pm3Zn4 | GGA-PBE | optimized geometry

Summary:
mass density	7.1	Mg/m³

a b c (Å): 9.0374 9.0374 4.6111
angles (deg): 90.00 90.00 120.00
Space group P6_3/m (No. 176)
Inequivalent atoms, fractional coordinates:
Pm  0.0977  0.4379  0.2500 [6 per cell]
Zn  0.0345  0.1972  0.7500 [6 per cell]
Zn  0.3333  0.6667  0.7500 [2 per cell]

=====

Version b
Pm3Zn4 | GGA-PBE | optimized geometry

Summary:
mass density	7.0	Mg/m³

a b c (Å): 8.5860 8.5860 5.1676
angles (deg): 90.00 90.00 120.00
Space group P6_3/m (No. 176)
Inequivalent atoms, fractional coordinates:
Pm  0.0853  0.7950  0.2500 [6 per cell]
Zn  0.1246  0.6201  0.7500 [6 per cell]
Zn  0.3333  0.6667  0.2500 [2 per cell]

=====

If we sort the structures by their calculated energies, the order from most to least stable is version a, version b.

=====

Version a
PmZrZn | GGA-PBE | optimized geometry

Summary:
mass density	6.4	Mg/m³

a b c (Å): 6.786 6.786 6.786
angles (deg): 90.00 90.00 90.00
Space group F-43m (No. 216)
Inequivalent atoms, fractional coordinates:
Pm  0.000  0.000  0.000 [4 per cell]
Zr  0.000  0.000  0.500 [4 per cell]
Zn  0.250  0.250  0.250 [4 per cell]

=====

Version b
PmZrZn | GGA-PBE | optimized geometry

Summary:
mass density	6.1	Mg/m³

a b c (Å): 6.893 6.893 6.893
angles (deg): 90.00 90.00 90.00
Space group F-43m (No. 216)
Inequivalent atoms, fractional coordinates:
Pm  0.000  0.000  0.000 [4 per cell]
Zr  0.250  0.250  0.250 [4 per cell]
Zn  0.250  0.250  0.750 [4 per cell]

=====

If we sort the structures by their calculated energies, the order from most to least stable is version a, version b.